Entry 1:
A plane-wave DFT calculation with GGA-PBE was carried out for an optimized crystal structure of TiOsRuS.

Properties
N(E_F) in states/eV/f.u.: 3.7
Energy relative to the elements, uncorrected in eV per atom: -0.19
Total energy in eV per atom: -8.325
Size of the total moment in μB per formula unit: 0.0

Unit cell a=4.150 b=2.926 c=10.644 alpha=90.00 beta=113.45 gamma=90.00
Atoms (fractional coordinates):
Os1 0.475 0.000 0.974
Ru1 0.883 0.500 0.883
Ti1 0.427 0.000 0.677
Ru2 0.883 0.000 0.383
Ti2 0.427 0.500 0.177
Os2 0.475 0.500 0.474
S1 0.973 0.000 0.180
S2 0.973 0.500 0.680


Entry 2:
A plane-wave DFT calculation with GGA-PBE was carried out for an optimized crystal structure of Co2AsSe.

Properties
N(E_F) in states/eV/f.u.: 4.2
Energy relative to the elements, uncorrected in eV per atom: 0.01
Total energy in eV per atom: -5.573
Size of the total moment in μB per formula unit: 0.0

Unit cell a=5.232 b=5.232 c=6.459 alpha=66.11 beta=66.11 gamma=90.00
Atoms (fractional coordinates):
As1 0.500 0.500 0.000
Co1 0.875 0.876 0.750
Co2 0.375 0.374 0.750
Co3 0.626 0.125 0.250
Co4 0.124 0.625 0.250
Se1 0.750 0.250 0.500
As2 0.250 0.750 0.500
Se2 0.000 0.000 0.000


Entry 3:
A plane-wave DFT calculation with GGA-PBE was carried out for an optimized crystal structure of K3SbO.

Properties
N(E_F) in states/eV/f.u.: 8.8
Energy relative to the elements, uncorrected in eV per atom: -0.56
Total energy in eV per atom: -3.035
Size of the total moment in μB per formula unit: 2.0

Unit cell a=5.436 b=5.436 c=5.436 alpha=90.00 beta=90.00 gamma=90.00
Last column: magnetic moment on the atom in μB.
Atoms (fractional coordinates):
K1 0.000 0.000 0.500  0.00
K2 0.500 0.000 0.000  0.01
K3 0.000 0.500 0.000  0.01
Sb1 0.500 0.500 0.500  0.53
O1 0.000 0.000 0.000  0.34


Entry 4:
A plane-wave DFT calculation with GGA-PBE was carried out for an optimized crystal structure of RbAcHg2Se4.

Properties
N(E_F) in states/eV/f.u.: 0.0
Energy relative to the elements, uncorrected in eV per atom: -0.91
Total energy in eV per atom: -3.363
Size of the total moment in μB per formula unit: 0.0

Unit cell a=7.496 b=7.188 c=7.188 alpha=71.47 beta=58.57 gamma=58.57
Atoms (fractional coordinates):
Ac1 0.500 0.500 0.500
Hg1 0.191 0.309 0.309
Se1 0.948 0.492 0.105
Rb1 0.000 0.000 0.000
Hg2 0.809 0.691 0.691
Se2 0.052 0.895 0.508
Se3 0.454 0.105 0.492
Se4 0.546 0.508 0.895


Entry 5:
A plane-wave DFT calculation with GGA-PBE was carried out for an optimized crystal structure of TaCoTcSn.

Properties
N(E_F) in states/eV/f.u.: 1.7
Total energy in eV per atom: -8.459
E_form in eV per formula unit: -0.5
Size of the total moment in μB per formula unit: 1.0

Unit cell a=4.467 b=4.467 c=4.467 alpha=60.00 beta=60.00 gamma=60.00
Last column: magnetic moment on the atom in μB.
Atoms (fractional coordinates):
Co1 0.000 0.000 0.000  0.91
Ta1 0.250 0.250 0.250  0.03
Sn1 0.750 0.750 0.750  -0.01
Tc1 0.500 0.500 0.500  0.12


Entry 6:
A plane-wave DFT calculation with GGA-PBE was carried out for an optimized crystal structure of VAgMo2Pb.

Properties
N(E_F) in states/eV/f.u.: 9.8
Total energy in eV per atom: -5.041
E_form in eV per formula unit: 12.1
Size of the total moment in μB per formula unit: 0.0

Unit cell a=5.036 b=4.873 c=5.036 alpha=90.00 beta=90.00 gamma=90.00
Atoms (fractional coordinates):
Ag1 0.500 0.500 0.500
Mo1 0.500 0.000 0.000
Mo2 0.000 0.000 0.500
Pb1 0.000 0.000 0.000
V1 0.000 0.500 0.000